# 1
# ScBe2Ni

Crystalline ScBe2Ni at its relaxed geometry (PBE, Alexandria via LeMat-Bulk).

Cell lengths 3.944, 3.944, 7.950 Å; angles 75.64, 75.64, 90.00 degrees
Element x y z (fractional)
Ni  0.750  0.250  0.500
Be  0.875  0.125  0.750
Ni  0.000  0.000  0.000
Be  0.875  0.125  0.250
Be  0.375  0.125  0.750
Sc  0.500  0.500  0.000
Sc  0.250  0.750  0.500
Be  0.875  0.625  0.250

Offset from the most stable computed form in eV per formula unit: 1.420
Mass density in Mg/m³: 3.49
E_form in eV/f.u.: 0.3
Magnetization in Bohr magnetons per cell: 0.000

# 2
# AsI2Br

Crystalline AsI2Br at its relaxed geometry (PBE, Alexandria via LeMat-Bulk).

Cell lengths 8.697, 7.909, 11.080 Å; angles 103.44, 90.00, 90.00 degrees
Element x y z (fractional)
I  0.396  0.460  0.181
I  0.359  0.994  0.809
I  0.896  0.040  0.819
As  0.875  0.933  0.324
As  0.375  0.567  0.676
Br  0.609  0.712  0.476
As  0.625  0.433  0.324
Br  0.891  0.212  0.476
I  0.604  0.540  0.819
Br  0.109  0.788  0.524
I  0.104  0.960  0.181
I  0.859  0.506  0.191
I  0.641  0.006  0.191
I  0.141  0.494  0.809
As  0.125  0.067  0.676
Br  0.391  0.288  0.524

Offset from the most stable computed form in eV per formula unit: 0.014
Mass density in Mg/m³: 3.66
Uncorrected formation energy in meV per atom: -247
Magnetization in Bohr magnetons per cell: 0.000

# 3
# Cs3TlCo2Br8

Crystalline Cs3TlCo2Br8 at its relaxed geometry (PBE, Alexandria via LeMat-Bulk).

Cell lengths 8.090, 8.090, 10.279 Å; angles 90.00, 90.00, 120.00 degrees
Element x y z (fractional)
Cs  0.000  0.000  0.000
Br  0.825  0.651  0.701
Br  0.333  0.667  0.980
Br  0.825  0.175  0.701
Cs  0.333  0.667  0.637
Br  0.175  0.825  0.299
Co  0.667  0.333  0.791
Br  0.651  0.825  0.299
Co  0.333  0.667  0.209
Br  0.175  0.349  0.299
Tl  0.000  0.000  0.500
Br  0.667  0.333  0.020
Cs  0.667  0.333  0.363
Br  0.349  0.175  0.701

Mass density in Mg/m³: 3.88
Uncorrected formation energy in meV per atom: -1035
Magnetization in Bohr magnetons per cell: 6.000

# 4
# Ba3UAg2O8

Crystalline Ba3UAg2O8 at its relaxed geometry (PBE, Alexandria via LeMat-Bulk).

Cell lengths 6.029, 6.029, 8.233 Å; angles 90.00, 90.00, 120.00 degrees
Element x y z (fractional)
O  0.161  0.321  0.352
O  0.839  0.161  0.648
Ba  0.667  0.333  0.366
Ba  0.000  0.000  0.000
Ag  0.333  0.667  0.181
O  0.667  0.333  0.064
O  0.161  0.839  0.352
O  0.679  0.839  0.352
Ag  0.667  0.333  0.819
O  0.839  0.679  0.648
O  0.321  0.161  0.648
O  0.333  0.667  0.936
U  0.000  0.000  0.500
Ba  0.333  0.667  0.634

Mass density in Mg/m³: 6.37
Uncorrected formation energy in meV per atom: -1963
Magnetization in Bohr magnetons per cell: 2.084

# 5
# Ta2FeRe

Crystalline Ta2FeRe at its relaxed geometry (PBE, Alexandria via LeMat-Bulk).

Cell lengths 3.234, 4.501, 6.237 Å; angles 43.79, 90.00, 90.00 degrees
Element x y z (fractional)
Fe  0.500  0.500  0.500
Ta  0.000  0.000  0.000
Re  0.000  0.000  0.500
Ta  0.500  0.500  0.000

Mass density in Mg/m³: 15.96
E_form in eV/f.u.: -0.2
Magnetization in Bohr magnetons per cell: 1.849

# 6
# U2Ga5Pt3

Crystalline U2Ga5Pt3 at its relaxed geometry (PBE, Alexandria via LeMat-Bulk).

Cell lengths 4.405, 6.697, 12.588 Å; angles 90.00, 100.08, 90.00 degrees
Element x y z (fractional)
Pt  0.225  0.209  0.450
U  0.516  0.258  0.032
Ga  0.123  0.260  0.246
Pt  0.394  0.015  0.788
Ga  0.877  0.760  0.754
Pt  0.051  0.977  0.101
Ga  0.948  0.080  0.896
Ga  0.396  0.419  0.792
Ga  0.604  0.919  0.208
Pt  0.949  0.477  0.899
U  0.829  0.225  0.658
Pt  0.775  0.709  0.550
Ga  0.291  0.508  0.582
U  0.171  0.725  0.342
U  0.484  0.758  0.968
Ga  0.293  0.915  0.586
Ga  0.709  0.008  0.418
Ga  0.707  0.415  0.414
Ga  0.052  0.580  0.104
Pt  0.606  0.515  0.212

Mass density in Mg/m³: 12.81
E_form in eV/f.u.: -6.1
Magnetization in Bohr magnetons per cell: 8.348